No. 1
Computed, not measured: KTiS2 after structural relaxation at the GGA-PBE level of DFT.

The calculation puts the calculated volume at 98.0 Å³ per cell. The raw total energy comes out at -5.383 eV per atom. For the uncorrected formation energy, the calculation gives -103.4 kJ per mole of atoms.

a b c (Å): 8.9670 8.9670 8.9670
angles (deg): 23.17 23.17 23.17
Closest atoms and distances in Å follow each position.
Positions (direct):
1 K 0.0000 0.0000 0.0000  2 S 2.98
2 S 0.8861 0.8861 0.8861  3 Ti 2.50
3 S 0.1139 0.1139 0.1139  3 Ti 2.50
4 Ti 0.5000 0.5000 0.5000  6 S 2.50

***

No. 2
Computed, not measured: KTiTlS3 after structural relaxation at the GGA-PBE level of DFT.

The calculation puts the calculated volume at 347.8 Å³ per cell. The raw total energy comes out at -5.032 eV per atom. For the uncorrected formation energy, the calculation gives -103.7 kJ per mole of atoms.

a b c (Å): 6.4883 7.4115 8.2900
angles (deg): 63.45 84.33 77.23
Closest atoms and distances in Å follow each position.
Positions (direct):
1 K 0.2500 0.2251 0.5498  4 S 3.27-3.42
2 K 0.7500 0.7749 0.4502  4 S 3.27-3.42
3 Ti 0.7500 0.0473 0.9054  5 S 2.25-2.48
4 Ti 0.2500 0.9527 0.0946  5 S 2.25-2.48
5 Tl 0.2500 0.5899 0.8201  5 S 3.04-3.13
6 Tl 0.7500 0.4101 0.1799  5 S 3.04-3.13
7 S 0.5012 0.8278 0.9256  2 Ti 2.35-2.48
8 S 0.9988 0.2467 0.9256  2 Ti 2.35-2.48
9 S 0.7500 0.1992 0.6015  1 Ti 2.25
10 S 0.4988 0.1722 0.0744  2 Ti 2.35-2.48
11 S 0.0012 0.7533 0.0744  2 Ti 2.35-2.48
12 S 0.2500 0.8008 0.3985  1 Ti 2.25

***

No. 3
Computed, not measured: K4Tm3TiS8 after structural relaxation at the GGA-PBE level of DFT.

The calculation puts the calculated volume at 391.4 Å³ per cell. The raw total energy comes out at -5.391 eV per atom. For the uncorrected formation energy, the calculation gives -166.0 kJ per mole of atoms.

a b c (Å): 7.8488 8.6234 7.8489
angles (deg): 117.08 120.00 90.00
Closest atoms and distances in Å follow each position.
Positions (direct):
1 K 0.5000 0.0000 0.0000  6 S 3.26
2 K 0.5000 0.0000 0.5000  6 S 3.15
3 K 0.0000 0.0000 0.0000  6 S 3.15
4 K 0.0000 0.0000 0.5000  6 S 3.15
5 Tm 0.5000 0.5000 0.0000  6 S 2.71-2.72
6 Tm 0.5000 0.5000 0.5000  6 S 2.71-2.72
7 Tm 0.0000 0.5000 0.5000  6 S 2.71-2.72
8 Ti 0.0000 0.5000 0.0000  6 S 2.59
9 S 0.2239 0.6945 0.9706  1 Ti 2.59, 2 Tm 2.72
10 S 0.2240 0.6945 0.4480  1 Ti 2.59, 2 Tm 2.72
11 S 0.2660 0.2982 0.5321  3 Tm 2.71
12 S 0.7467 0.6945 0.9706  1 Ti 2.59, 2 Tm 2.72
13 S 0.2533 0.3055 0.0294  1 Ti 2.59, 2 Tm 2.72
14 S 0.7340 0.7018 0.4679  3 Tm 2.71
15 S 0.7760 0.3055 0.5520  1 Ti 2.59, 2 Tm 2.72
16 S 0.7761 0.3055 0.0294  1 Ti 2.59, 2 Tm 2.72

***

No. 4
Computed, not measured: K3Tm2TiS6 after structural relaxation at the GGA-PBE level of DFT.

The calculation puts the calculated volume at 289.7 Å³ per cell. The raw total energy comes out at -5.411 eV per atom. For the uncorrected formation energy, the calculation gives -161.1 kJ per mole of atoms.

a b c (Å): 6.7552 6.7552 7.6710
angles (deg): 98.45 98.45 120.02
Closest atoms and distances in Å follow each position.
Positions (direct):
1 K 0.1695 0.8305 0.5000  6 S 3.14-3.23
2 K 0.8305 0.1695 0.5000  6 S 3.14-3.23
3 K 0.5000 0.5000 0.5000  6 S 3.14-3.25
4 Tm 0.3335 0.6665 0.0000  6 S 2.72
5 Tm 0.6665 0.3335 0.0000  6 S 2.72
6 Ti 0.0000 0.0000 0.0000  6 S 2.57
7 S 0.9350 0.6182 0.8050  1 Ti 2.57, 2 Tm 2.72
8 S 0.7489 0.7489 0.1954  1 Ti 2.57, 2 Tm 2.72
9 S 0.0650 0.3818 0.1950  1 Ti 2.57, 2 Tm 2.72
10 S 0.6182 0.9350 0.8050  1 Ti 2.57, 2 Tm 2.72
11 S 0.2511 0.2511 0.8046  1 Ti 2.57, 2 Tm 2.72
12 S 0.3818 0.0650 0.1950  1 Ti 2.57, 2 Tm 2.72

***

- calculated volume of number 4 (K3Tm2TiS6)?
  289.7 Å³ per cell

***

Repeat the second record exactly.
Computed, not measured: KTiTlS3 after structural relaxation at the GGA-PBE level of DFT.

The calculation puts the calculated volume at 347.8 Å³ per cell. The raw total energy comes out at -5.032 eV per atom. For the uncorrected formation energy, the calculation gives -103.7 kJ per mole of atoms.

a b c (Å): 6.4883 7.4115 8.2900
angles (deg): 63.45 84.33 77.23
Closest atoms and distances in Å follow each position.
Positions (direct):
1 K 0.2500 0.2251 0.5498  4 S 3.27-3.42
2 K 0.7500 0.7749 0.4502  4 S 3.27-3.42
3 Ti 0.7500 0.0473 0.9054  5 S 2.25-2.48
4 Ti 0.2500 0.9527 0.0946  5 S 2.25-2.48
5 Tl 0.2500 0.5899 0.8201  5 S 3.04-3.13
6 Tl 0.7500 0.4101 0.1799  5 S 3.04-3.13
7 S 0.5012 0.8278 0.9256  2 Ti 2.35-2.48
8 S 0.9988 0.2467 0.9256  2 Ti 2.35-2.48
9 S 0.7500 0.1992 0.6015  1 Ti 2.25
10 S 0.4988 0.1722 0.0744  2 Ti 2.35-2.48
11 S 0.0012 0.7533 0.0744  2 Ti 2.35-2.48
12 S 0.2500 0.8008 0.3985  1 Ti 2.25

***

- Among the records above, which one has the lowest calculated volume?
  KTiS2

***

- Look up the raw total energy of the fourth one.
  -5.411 eV per atom